Entry 1:
{"formula": "CrAsW2", "functional": "GGA-PBEsol", "state": "optimized geometry", "lattice": [[3.152, 0.000, 0.000], [0.000, 4.211, 0.000], [-1.576, -2.106, 4.281]], "species": ["W", "W", "As", "Cr"], "frac_coords": [[0.749, 0.749, 0.498], [0.251, 0.251, 0.502], [0.500, 0.000, 0.000], [0.000, 0.500, 0.000]], "final_energy_ha_per_atom": -0.386, "ef_mev_per_atom": 246, "rho_g_cm3": 14.5}

Entry 2:
{"formula": "Cr2AsW", "functional": "GGA-PBEsol", "state": "optimized geometry", "lattice": [[-0.182, 1.934, 2.372], [-3.920, 0.404, -0.630], [1.302, -4.406, 1.710]], "species": ["Cr", "Cr", "W", "As"], "frac_coords": [[0.000, 0.500, 0.000], [0.745, 0.745, 0.491], [0.497, 0.997, 0.994], [0.258, 0.258, 0.515]], "final_energy_ha_per_atom": -0.358, "ef_mev_per_atom": 115, "rho_g_cm3": 11.7}

Entry 3:
{"formula": "Cr2AsW", "functional": "GGA-PBEsol", "state": "optimized geometry", "lattice": [[-2.501, 1.144, -0.379], [-1.779, -3.766, 0.374], [0.654, 0.155, 4.676]], "species": ["Cr", "Cr", "W", "As"], "frac_coords": [[0.082, 0.000, 0.013], [0.764, 0.500, 0.224], [0.561, 0.000, 0.499], [0.093, 0.500, 0.764]], "final_energy_ha_per_atom": -0.355, "ef_mev_per_atom": 200, "rho_g_cm3": 11.3}

Entry 4:
{"formula": "CrAs2W", "functional": "GGA-PBEsol", "state": "optimized geometry", "lattice": [[5.642, 0.000, 0.000], [0.000, 5.642, 0.000], [-2.821, -2.821, 5.500]], "species": ["As", "As", "As", "As", "Cr", "Cr", "W", "W"], "frac_coords": [[0.625, 0.624, 0.750], [0.125, 0.126, 0.750], [0.874, 0.375, 0.250], [0.376, 0.875, 0.250], [0.500, 0.500, 0.000], [0.750, 0.250, 0.500], [0.250, 0.750, 0.500], [0.000, 0.000, 0.000]], "final_energy_ha_per_atom": -0.288, "ef_mev_per_atom": 734, "rho_g_cm3": 7.3}

Entry 5:
{"formula": "Cr2AsW", "functional": "GGA-PBEsol", "state": "optimized geometry", "lattice": [[3.060, 0.000, 0.000], [0.000, 3.060, 0.000], [0.000, 0.000, 5.556]], "species": ["Cr", "Cr", "As", "W"], "frac_coords": [[0.000, 0.000, 0.740], [0.000, 0.000, 0.260], [0.500, 0.500, 0.500], [0.500, 0.500, 0.000]], "final_energy_ha_per_atom": -0.358, "ef_mev_per_atom": 108, "rho_g_cm3": 11.6}

Entry 6:
{"formula": "Cr2AsW", "functional": "GGA-PBEsol", "state": "optimized geometry", "lattice": [[-0.502, -2.735, -0.359], [0.726, -1.832, 1.994], [-7.097, -0.654, 3.953]], "species": ["As", "W", "Cr", "Cr"], "frac_coords": [[0.744, 0.744, 0.769], [0.503, 0.503, 0.492], [0.995, 0.995, 0.016], [0.259, 0.259, 0.223]], "final_energy_ha_per_atom": -0.348, "ef_mev_per_atom": 379, "rho_g_cm3": 11.1}

Entry 7:
{"formula": "YCr2As", "functional": "GGA-PBEsol", "state": "optimized geometry", "lattice": [[-3.195, 0.566, -2.202], [-0.767, -3.456, 3.716], [-1.866, 1.519, 3.097]], "species": ["Y", "Cr", "Cr", "As"], "frac_coords": [[0.500, 0.000, 0.500], [0.000, 0.000, 0.000], [0.750, 0.500, 0.750], [0.250, 0.500, 0.250]], "final_energy_ha_per_atom": -0.288, "ef_mev_per_atom": 261, "rho_g_cm3": 6.7}

Entry 8:
{"formula": "YCr2As", "functional": "GGA-PBEsol", "state": "optimized geometry", "lattice": [[-2.188, 1.561, -1.379], [-3.016, -3.721, 0.837], [1.450, 2.884, 4.141]], "species": ["As", "Cr", "Cr", "Y"], "frac_coords": [[0.000, 0.500, 0.000], [0.500, 0.500, 0.500], [0.000, 0.000, 0.500], [0.500, 0.000, 0.000]], "final_energy_ha_per_atom": -0.282, "ef_mev_per_atom": 436, "rho_g_cm3": 6.8}

Entry 9:
{"formula": "YCr2As", "functional": "GGA-PBEsol", "state": "optimized geometry", "lattice": [[3.980, 0.003, 0.000], [-0.353, 3.967, 0.000], [0.000, 0.000, 4.496]], "species": ["As", "Y", "Cr", "Cr"], "frac_coords": [[0.500, 0.000, 0.500], [0.000, 0.500, 0.500], [0.336, 0.164, 0.000], [0.664, 0.836, 0.000]], "final_energy_ha_per_atom": -0.293, "ef_mev_per_atom": 140, "rho_g_cm3": 6.3}

Entry 10:
{"formula": "ZnCrAs", "functional": "GGA-PBEsol", "state": "optimized geometry", "lattice": [[2.868, 0.000, 0.000], [-1.434, 2.484, 0.000], [0.000, 0.000, 6.153]], "species": ["Cr", "Zn", "As"], "frac_coords": [[0.333, 0.667, 0.680], [0.667, 0.333, 0.356], [0.000, 0.000, 0.964]], "final_energy_ha_per_atom": -0.199, "ef_mev_per_atom": 240, "rho_g_cm3": 7.3}

Entry 11:
{"formula": "Zn2CrAs", "functional": "GGA-PBEsol", "state": "optimized geometry", "lattice": [[2.895, 0.000, 0.000], [1.448, 2.508, 0.000], [1.448, 0.836, 8.001]], "species": ["Zn", "Zn", "As", "Cr"], "frac_coords": [[0.996, 0.996, 0.012], [0.748, 0.748, 0.757], [0.510, 0.510, 0.471], [0.246, 0.246, 0.261]], "final_energy_ha_per_atom": -0.163, "ef_mev_per_atom": 181, "rho_g_cm3": 7.4}

Entry 12:
{"formula": "ZnCr2As", "functional": "GGA-PBEsol", "state": "optimized geometry", "lattice": [[-3.174, 2.283, 1.658], [-3.881, -1.690, 0.335], [-1.560, -0.995, 3.822]], "species": ["As", "Zn", "Cr", "Cr"], "frac_coords": [[0.500, 0.500, 0.500], [0.250, 0.250, 0.250], [0.000, 0.000, 0.000], [0.750, 0.750, 0.750]], "final_energy_ha_per_atom": -0.238, "ef_mev_per_atom": 322, "rho_g_cm3": 7.5}